The following is a DFT calculation (SCAN) of NaY2Au2 at its PBEsol-relaxed geometry.

a = 3.6612 Å, b = 8.0673 Å, c = 8.0673 Å
α = 90.00°, β = 90.00°, γ = 90.00°
Element x y z (fractional)
1 Au 0.0000 0.3652 0.8652
2 Au 0.0000 0.1348 0.3652
3 Au 0.0000 0.8652 0.6348
4 Au 0.0000 0.6348 0.1348
5 Y 0.5000 0.6583 0.8417
6 Y 0.5000 0.8417 0.3417
7 Y 0.5000 0.3417 0.1583
8 Y 0.5000 0.1583 0.6583
9 Na 0.0000 0.0000 0.0000
10 Na 0.0000 0.5000 0.5000

Summary:
The formation energy is -0.86 eV/atom. As for the space group: P4/mbm.


The following is a DFT calculation (SCAN) of MnINF2 at its PBEsol-relaxed geometry.

a = 4.0148 Å, b = 4.7332 Å, c = 4.7332 Å
α = 90.00°, β = 90.00°, γ = 90.00°
Element x y z (fractional)
1 F 0.0000 0.5000 0.0000
2 F 0.0000 0.0000 0.5000
3 N 0.5000 0.0000 0.0000
4 I 0.0000 0.0000 0.0000
5 Mn 0.5000 0.5000 0.5000

Summary:
The calculation puts the energy relative to the elements, uncorrected at 0.2047 eV/atom. As for the space group: P4/mmm.


The following is a DFT calculation (SCAN) of MgZn4Hg at its PBEsol-relaxed geometry.

a = 5.1895 Å, b = 5.1895 Å, c = 5.1895 Å
α = 60.00°, β = 60.00°, γ = 60.00°
Element x y z (fractional)
1 Mg 0.0000 0.0000 0.0000
2 Zn 0.3743 0.3743 0.3743
3 Zn 0.3743 0.8770 0.3743
4 Zn 0.3743 0.3743 0.8770
5 Zn 0.8770 0.3743 0.3743
6 Hg 0.7500 0.7500 0.7500

Summary:
The formation energy is -0.03 eV/atom. As for the space group: F-43m.


The following is a DFT calculation (SCAN) of KBaScSn2 at its PBEsol-relaxed geometry.

a = 5.6168 Å, b = 5.7562 Å, c = 5.7562 Å
α = 90.00°, β = 90.00°, γ = 90.00°
Element x y z (fractional)
1 Sn 0.0000 0.5000 0.0000
2 Sn 0.0000 0.0000 0.5000
3 Sc 0.5000 0.5000 0.5000
4 K 0.0000 0.0000 0.0000
5 Ba 0.5000 0.0000 0.0000

Summary:
The formation energy is 0.78 eV/atom. As for the space group: P4/mmm.


The following is a DFT calculation (SCAN) of ZnSiOs at its PBEsol-relaxed geometry.

a = 3.0867 Å, b = 3.0867 Å, c = 4.6580 Å
α = 109.35°, β = 109.35°, γ = 90.00°
Element x y z (fractional)
1 Zn 0.3296 0.3296 0.6591
2 Os 0.0117 0.0117 0.0233
3 Si 0.6588 0.6588 0.3176

Summary:
The calculation puts the energy relative to the elements, uncorrected at -0.2395 eV/atom. As for the space group: I4mm.


The following is a DFT calculation (SCAN) of La2ScAs2 at its PBEsol-relaxed geometry.

a = 4.1769 Å, b = 7.7210 Å, c = 7.7210 Å
α = 90.00°, β = 90.00°, γ = 90.00°
Element x y z (fractional)
1 As 0.0000 0.8410 0.6590
2 As 0.0000 0.3410 0.8410
3 As 0.0000 0.6590 0.1590
4 As 0.0000 0.1590 0.3410
5 Sc 0.0000 0.5000 0.5000
6 Sc 0.0000 0.0000 0.0000
7 La 0.5000 0.3498 0.1502
8 La 0.5000 0.1502 0.6502
9 La 0.5000 0.8498 0.3498
10 La 0.5000 0.6502 0.8498

Summary:
The formation energy is -1.33 eV/atom. As for the space group: P4/mbm.


The following is a DFT calculation (SCAN) of NbSn2S2 at its PBEsol-relaxed geometry.

a = 3.7070 Å, b = 3.7070 Å, c = 8.3345 Å
α = 102.85°, β = 102.85°, γ = 90.00°
Element x y z (fractional)
1 Sn 0.7500 0.2500 0.5000
2 Sn 0.2500 0.7500 0.5000
3 S 0.4167 0.4167 0.8334
4 S 0.5833 0.5833 0.1666
5 Nb 0.0000 0.0000 0.0000

Summary:
The calculation puts the energy relative to the elements, uncorrected at 0.4465 eV/atom. As for the space group: I4/mmm.


The following is a DFT calculation (SCAN) of SiBr2Cl at its PBEsol-relaxed geometry.

a = 4.1170 Å, b = 4.1170 Å, c = 5.1708 Å
α = 90.00°, β = 90.00°, γ = 90.00°
Element x y z (fractional)
1 Cl 0.5000 0.5000 0.5000
2 Br 0.5000 0.0000 0.0000
3 Br 0.0000 0.5000 0.0000
4 Si 0.0000 0.0000 0.5000

Summary:
The calculation puts the energy relative to the elements, uncorrected at 0.4371 eV/atom. As for the space group: P4/mmm.


The following is a DFT calculation (SCAN) of MnTeIrN2 at its PBEsol-relaxed geometry.

a = 3.7911 Å, b = 3.7911 Å, c = 5.8395 Å
α = 90.00°, β = 90.00°, γ = 90.00°
Element x y z (fractional)
1 Mn 0.5000 0.5000 0.5000
2 Te 0.0000 0.0000 0.5000
3 N 0.0000 0.5000 0.0000
4 N 0.5000 0.0000 0.0000
5 Ir 0.0000 0.0000 0.0000

Summary:
The calculation puts the energy relative to the elements, uncorrected at 0.6699 eV/atom. As for the space group: P4/mmm.


The following is a DFT calculation (SCAN) of MoPRh2 at its PBEsol-relaxed geometry.

a = 2.8309 Å, b = 4.4861 Å, c = 4.9647 Å
α = 114.57°, β = 106.56°, γ = 90.00°
Element x y z (fractional)
1 Rh 0.7564 0.2483 0.5128
2 Rh 0.9573 0.9290 0.9145
3 P 0.2531 0.8338 0.5062
4 Mo 0.5332 0.4889 0.0665

Summary:
The formation energy is -0.38 eV/atom. As for the space group: Cm.


The following is a DFT calculation (SCAN) of La5Ru3 at its PBEsol-relaxed geometry.

a = 6.2485 Å, b = 8.4207 Å, c = 8.4207 Å
α = 82.09°, β = 68.22°, γ = 68.22°
Element x y z (fractional)
1 La 0.5876 0.7028 0.1221
2 La 0.0876 0.1221 0.7028
3 La 0.2096 0.7028 0.8779
4 La 0.7500 0.5000 0.5000
5 La 0.4124 0.2972 0.8779
6 La 0.7904 0.2972 0.1221
7 La 0.7096 0.8779 0.7028
8 La 0.9124 0.8779 0.2972
9 La 0.2500 0.5000 0.5000
10 La 0.2904 0.1221 0.2972
11 Ru 0.7500 0.0000 0.0000
12 Ru 0.6529 0.1942 0.5000
13 Ru 0.8471 0.5000 0.8058
14 Ru 0.3471 0.8058 0.5000
15 Ru 0.2500 0.0000 0.0000
16 Ru 0.1529 0.5000 0.1942

Summary:
The formation energy is -0.25 eV/atom. As for the space group: I4/mcm.


The following is a DFT calculation (SCAN) of LiTi2Ir2 at its PBEsol-relaxed geometry.

a = 2.8793 Å, b = 7.3865 Å, c = 7.3865 Å
α = 90.00°, β = 90.00°, γ = 90.00°
Element x y z (fractional)
1 Li 0.0000 0.5000 0.5000
2 Li 0.0000 0.0000 0.0000
3 Ir 0.0000 0.1430 0.3570
4 Ir 0.0000 0.8570 0.6430
5 Ir 0.0000 0.6430 0.1430
6 Ir 0.0000 0.3570 0.8570
7 Ti 0.5000 0.6527 0.8473
8 Ti 0.5000 0.8473 0.3473
9 Ti 0.5000 0.3473 0.1527
10 Ti 0.5000 0.1527 0.6527

Summary:
The formation energy is -0.81 eV/atom. As for the space group: P4/mbm.